No. 1
An optimized crystal structure of LiSc2Se, computed with PBE-GGA.

Cell lengths 5.824, 5.824, 5.824 Å; angles 140.59, 140.59, 56.96 degrees
Element x y z (fractional)
Li1 0.000 0.000 0.000
Sc1 0.250 0.750 0.500
Sc2 0.500 0.500 0.000
Se1 0.750 0.250 0.500

Values from the calculation:
energy relative to the elements, uncorrected: -0.517 eV per atom

No. 2
An optimized crystal structure of Li2ScSe, computed with PBE-GGA.

Cell lengths 3.612, 6.179, 6.179 Å; angles 35.43, 90.00, 90.00 degrees
Element x y z (fractional)
Li1 0.000 0.000 0.000
Li2 0.500 0.392 0.392
Sc1 0.000 0.731 0.731
Se1 0.500 0.162 0.162

Values from the calculation:
energy relative to the elements, uncorrected: -0.720 eV per atom

No. 3
An optimized crystal structure of LiScSe2, computed with PBE-GGA.

Cell lengths 3.784, 6.780, 6.780 Å; angles 29.96, 90.00, 90.00 degrees
Element x y z (fractional)
Li1 0.000 0.000 0.000
Sc1 0.500 0.220 0.220
Se1 0.000 0.802 0.802
Se2 0.500 0.566 0.566

Values from the calculation:
energy relative to the elements, uncorrected: -1.442 eV per atom

No. 4
An optimized crystal structure of LiSc4Se6, computed with PBE-GGA.

Cell lengths 6.659, 6.659, 20.134 Å; angles 90.00, 90.00, 146.39 degrees
Element x y z (fractional)
Li1 0.169 0.831 0.750
Li2 0.831 0.169 0.250
Sc1 0.091 0.909 0.137
Sc2 0.091 0.909 0.363
Sc3 0.365 0.635 0.043
Sc4 0.365 0.635 0.457
Sc5 0.635 0.365 0.543
Sc6 0.635 0.365 0.957
Sc7 0.909 0.091 0.637
Sc8 0.909 0.091 0.863
Se1 0.000 0.000 0.000
Se2 0.000 0.000 0.500
Se3 0.187 0.813 0.250
Se4 0.276 0.724 0.582
Se5 0.276 0.724 0.918
Se6 0.453 0.547 0.162
Se7 0.453 0.547 0.338
Se8 0.547 0.453 0.662
Se9 0.547 0.453 0.838
Se10 0.724 0.276 0.082
Se11 0.724 0.276 0.418
Se12 0.813 0.187 0.750

Values from the calculation:
energy relative to the elements, uncorrected: -1.601 eV per atom

No. 5
An optimized crystal structure of LiSc2Se, computed with PBE-GGA.

Cell lengths 3.835, 5.613, 5.613 Å; angles 39.07, 90.00, 90.00 degrees
Element x y z (fractional)
Li1 0.000 0.000 0.000
Sc1 0.000 0.275 0.275
Sc2 0.500 0.584 0.584
Se1 0.500 0.856 0.856

Values from the calculation:
energy relative to the elements, uncorrected: -0.751 eV per atom

No. 6
An optimized crystal structure of Li2ScSe, computed with PBE-GGA.

Cell lengths 4.683, 4.683, 4.683 Å; angles 60.00, 60.00, 60.00 degrees
Element x y z (fractional)
Li1 0.000 0.000 0.000
Li2 0.250 0.250 0.250
Sc1 0.500 0.500 0.500
Se1 0.750 0.750 0.750

Values from the calculation:
energy relative to the elements, uncorrected: -0.366 eV per atom

No. 7
An optimized crystal structure of LiScSe4, computed with PBE-GGA.

Cell lengths 5.770, 5.770, 5.770 Å; angles 60.00, 60.00, 60.00 degrees
Element x y z (fractional)
Li1 0.000 0.000 0.000
Sc1 0.750 0.750 0.750
Se1 0.375 0.375 0.375
Se2 0.375 0.375 0.875
Se3 0.375 0.875 0.375
Se4 0.875 0.375 0.375

Values from the calculation:
energy relative to the elements, uncorrected: 0.049 eV per atom

No. 8
An optimized crystal structure of LiScSe2, computed with PBE-GGA.

Cell lengths 4.949, 4.949, 4.949 Å; angles 131.57, 108.90, 90.72 degrees
Element x y z (fractional)
Li1 0.000 0.000 0.000
Sc1 0.500 0.500 0.000
Se1 0.241 0.741 0.500
Se2 0.759 0.259 0.500

Values from the calculation:
energy relative to the elements, uncorrected: -1.216 eV per atom

No. 9
An optimized crystal structure of LiScSe2, computed with PBE-GGA.

Cell lengths 3.388, 3.388, 6.975 Å; angles 90.00, 90.00, 90.00 degrees
Element x y z (fractional)
Li1 0.000 0.000 0.000
Sc1 0.000 0.000 0.500
Se1 0.500 0.500 0.268
Se2 0.500 0.500 0.732

Values from the calculation:
energy relative to the elements, uncorrected: -1.207 eV per atom

No. 10
An optimized crystal structure of LiScSe2, computed with PBE-GGA.

Cell lengths 3.681, 3.681, 7.243 Å; angles 90.00, 90.00, 115.61 degrees
Element x y z (fractional)
Li1 0.000 0.000 0.000
Sc1 0.000 0.000 0.500
Se1 0.500 0.500 0.256
Se2 0.500 0.500 0.744

Values from the calculation:
energy relative to the elements, uncorrected: -1.233 eV per atom